Entry 1:
Lu2BeAu: relaxed, GGA-PBE.

a b c (Å): 4.801 4.801 4.801
angles (deg): 60.00 60.00 60.00
Element x y z (fractional)
1 Au 0.250 0.250 0.250
2 Be 0.500 0.500 0.500
3 Lu 0.000 0.000 0.000
4 Lu 0.750 0.750 0.750

Values from the calculation:
The calculated total energy is -16.0 eV/f.u.



Entry 2:
ScInAg2: relaxed, GGA-PBE.

a b c (Å): 4.794 4.794 4.794
angles (deg): 60.00 60.00 60.00
Element x y z (fractional)
1 Ag 0.000 0.000 0.000
2 Ag 0.750 0.750 0.750
3 In 0.500 0.500 0.500
4 Sc 0.250 0.250 0.250

Values from the calculation:
The calculated total energy is -15.7 eV/f.u.



Entry 3:
BeTlAg: relaxed, GGA-PBE.

a b c (Å): 4.431 4.431 4.431
angles (deg): 60.00 60.00 60.00
Element x y z (fractional)
1 Ag 0.000 0.000 0.000
2 Be 0.250 0.250 0.250
3 Tl 0.750 0.750 0.750

Values from the calculation:
The calculated total energy is -7.1 eV/f.u. The calculation puts the energy above the most stable polymorph in this dataset at 0.0000 eV/atom.



Entry 4:
AcDyAsO: relaxed, GGA-PBE.

a b c (Å): 4.532 7.624 6.404
angles (deg): 90.00 90.00 90.00
Element x y z (fractional)
1 Ac 0.000 0.208 0.438
2 Ac 0.000 0.792 0.938
3 As 0.000 0.805 0.433
4 As 0.000 0.195 0.933
5 Dy 0.500 0.392 0.018
6 Dy 0.500 0.608 0.518
7 O 0.500 0.348 0.365
8 O 0.500 0.652 0.865

Values from the calculation:
The calculated total energy is -26.2 eV/f.u. The calculation puts the energy above the most stable polymorph in this dataset at 0.0474 eV/atom.



Entry 5:
FeCoS4: relaxed, GGA-PBE.

a b c (Å): 4.473 3.413 5.419
angles (deg): 90.00 90.65 90.00
Element x y z (fractional)
1 Co 0.000 0.500 0.500
2 Fe 0.500 0.000 0.000
3 S 0.795 0.500 0.120
4 S 0.304 0.000 0.377
5 S 0.696 0.000 0.623
6 S 0.205 0.500 0.880

Values from the calculation:
The calculated total energy is -34.4 eV/f.u. The calculation puts the energy above the most stable polymorph in this dataset at 0.0000 eV/atom.



Entry 6:
TbErCd2Sn2: relaxed, GGA-PBE.

a b c (Å): 8.499 8.499 8.499
angles (deg): 150.09 150.09 42.80
Element x y z (fractional)
1 Cd 0.500 0.000 0.500
2 Cd 0.000 0.500 0.500
3 Er 0.663 0.663 0.000
4 Sn 0.142 0.142 0.000
5 Sn 0.857 0.857 0.000
6 Tb 0.337 0.337 0.000

Values from the calculation:
The calculated total energy is -22.1 eV/f.u.



Entry 7:
Er6NiGe2: relaxed, GGA-PBE.

a b c (Å): 7.799 7.799 4.109
angles (deg): 90.00 90.00 120.00
Element x y z (fractional)
1 Er 0.592 0.000 0.000
2 Er 0.408 0.408 0.000
3 Er 0.000 0.592 0.000
4 Er 0.249 0.000 0.500
5 Er 0.000 0.249 0.500
6 Er 0.751 0.751 0.500
7 Ge 0.667 0.333 0.500
8 Ge 0.333 0.667 0.500
9 Ni 0.000 0.000 0.000

Values from the calculation:
The calculated total energy is -46.7 eV/f.u.



Entry 8:
LaCuSiPt: relaxed, GGA-PBE.

a b c (Å): 4.755 4.755 4.755
angles (deg): 60.00 60.00 60.00
Element x y z (fractional)
1 Cu 0.750 0.750 0.750
2 La 0.500 0.500 0.500
3 Pt 0.250 0.250 0.250
4 Si 0.000 0.000 0.000

Values from the calculation:
The calculated total energy is -21.7 eV/f.u. The calculation puts the energy above the most stable polymorph in this dataset at 0.0103 eV/atom.



Entry 9:
CdGeTeO: relaxed, GGA-PBE.

a b c (Å): 4.348 4.348 9.389
angles (deg): 90.00 90.00 90.00
Element x y z (fractional)
1 Cd 0.750 0.250 0.000
2 Cd 0.250 0.750 0.000
3 Ge 0.750 0.750 0.329
4 Ge 0.250 0.250 0.671
5 O 0.250 0.250 0.487
6 O 0.750 0.750 0.513
7 Te 0.250 0.250 0.261
8 Te 0.750 0.750 0.739

Values from the calculation:
The calculated total energy is -14.6 eV/f.u. The calculation puts the energy above the most stable polymorph in this dataset at 0.3651 eV/atom.



Entry 10:
Er2CdCo2: relaxed, GGA-PBE.

a b c (Å): 7.051 7.051 3.849
angles (deg): 90.00 90.00 148.74
Element x y z (fractional)
1 Cd 0.000 0.000 0.000
2 Co 0.793 0.207 0.000
3 Co 0.207 0.793 0.000
4 Er 0.639 0.361 0.500
5 Er 0.361 0.639 0.500

Values from the calculation:
For the formation energy, the calculation gives -0.287 eV per atom. The calculated total energy is -25.7 eV/f.u.



Entry 11:
SmYBr3N: relaxed, GGA-PBE.

a b c (Å): 9.462 9.462 11.741
angles (deg): 123.90 123.90 24.00
Element x y z (fractional)
1 Br 0.668 0.668 0.011
2 Br 0.039 0.039 0.252
3 Br 0.787 0.787 0.384
4 Br 0.213 0.213 0.616
5 Br 0.961 0.961 0.748
6 Br 0.332 0.332 0.989
7 N 0.426 0.426 0.348
8 N 0.574 0.574 0.652
9 Sm 0.864 0.864 0.215
10 Sm 0.136 0.136 0.785
11 Y 0.574 0.574 0.460
12 Y 0.426 0.426 0.540

Values from the calculation:
The calculated total energy is -35.5 eV/f.u. The calculation puts the energy above the most stable polymorph in this dataset at 0.0000 eV/atom.



Entry 12:
ErMgCd2: relaxed, GGA-PBE.

a b c (Å): 6.365 6.365 4.871
angles (deg): 90.00 90.00 111.24
Element x y z (fractional)
1 Cd 0.386 0.178 0.250
2 Cd 0.822 0.614 0.250
3 Cd 0.178 0.386 0.750
4 Cd 0.614 0.822 0.750
5 Er 0.872 0.128 0.250
6 Er 0.128 0.872 0.750
7 Mg 0.338 0.662 0.250
8 Mg 0.662 0.338 0.750

Values from the calculation:
The calculated total energy is -9.0 eV/f.u.



Entry 13:
HoTmB2Pd2C2: relaxed, GGA-PBE.

a b c (Å): 3.730 3.730 7.742
angles (deg): 90.00 90.00 90.00
Element x y z (fractional)
1 B 0.500 0.500 0.164
2 B 0.000 0.000 0.837
3 C 0.500 0.500 0.354
4 C 0.000 0.000 0.647
5 Ho 0.000 0.000 0.342
6 Pd 0.500 0.000 0.999
7 Pd 0.000 0.500 0.999
8 Tm 0.500 0.500 0.657

Values from the calculation:
The calculated total energy is -55.4 eV/f.u.



Entry 14:
ThHgBi: relaxed, GGA-PBE.

a b c (Å): 5.167 5.167 5.167
angles (deg): 60.00 60.00 60.00
Element x y z (fractional)
1 Bi 0.250 0.250 0.250
2 Hg 0.000 0.000 0.000
3 Th 0.750 0.750 0.750

Values from the calculation:
The calculated total energy is -11.9 eV/f.u. The calculation puts the energy above the most stable polymorph in this dataset at 0.0806 eV/atom.



Entry 15:
Er4InC2O: relaxed, GGA-PBE.

a b c (Å): 3.493 3.493 13.977
angles (deg): 90.00 90.00 120.00
Element x y z (fractional)
1 C 0.667 0.333 0.291
2 C 0.667 0.333 0.709
3 Er 0.333 0.667 0.197
4 Er 0.000 0.000 0.389
5 Er 0.000 0.000 0.611
6 Er 0.333 0.667 0.803
7 In 0.000 0.000 0.000
8 O 0.333 0.667 0.500

Values from the calculation:
The calculated total energy is -52.7 eV/f.u.



Entry 16:
LaGdAg2Bi2Sb2: relaxed, GGA-PBE.

a b c (Å): 4.499 4.499 10.598
angles (deg): 90.00 90.00 90.00
Element x y z (fractional)
1 Ag 0.500 0.000 0.995
2 Ag 0.000 0.500 0.995
3 Bi 0.500 0.000 0.508
4 Bi 0.000 0.500 0.508
5 Gd 0.000 0.000 0.751
6 La 0.500 0.500 0.253
7 Sb 0.000 0.000 0.171
8 Sb 0.500 0.500 0.820

Values from the calculation:
The calculated total energy is -36.7 eV/f.u.



Entry 17:
Gd2ErSc3Te2Os: relaxed, GGA-PBE.

a b c (Å): 4.035 7.945 7.945
angles (deg): 120.22 90.00 90.00
Element x y z (fractional)
1 Er 0.000 0.387 0.387
2 Gd 0.000 0.000 0.608
3 Gd 0.000 0.608 0.000
4 Os 0.000 0.007 0.007
5 Sc 0.500 0.000 0.230
6 Sc 0.500 0.771 0.771
7 Sc 0.500 0.230 0.000
8 Te 0.500 0.664 0.333
9 Te 0.500 0.333 0.664

Values from the calculation:
The calculated total energy is -57.3 eV/f.u.



Entry 18:
HoMgTl: relaxed, GGA-PBE.

a b c (Å): 4.939 4.939 4.939
angles (deg): 60.00 60.00 60.00
Element x y z (fractional)
1 Ho 0.250 0.250 0.250
2 Mg 0.750 0.750 0.750
3 Tl 0.000 0.000 0.000

Values from the calculation:
The calculated total energy is -9.0 eV/f.u.



Entry 19:
TaBeCuPb: relaxed, GGA-PBE.

a b c (Å): 4.593 4.593 4.593
angles (deg): 60.00 60.00 60.00
Element x y z (fractional)
1 Be 0.500 0.500 0.500
2 Cu 0.750 0.750 0.750
3 Pb 0.000 0.000 0.000
4 Ta 0.250 0.250 0.250

Values from the calculation:
The calculated total energy is -19.6 eV/f.u. The calculation puts the energy above the most stable polymorph in this dataset at 0.0747 eV/atom.



Entry 20:
Dy2Ho2O5: relaxed, GGA-PBE.

a b c (Å): 9.215 3.903 3.903
angles (deg): 90.00 90.00 90.00
Element x y z (fractional)
1 Dy 0.000 0.000 0.000
2 Dy 0.500 0.000 0.000
3 Ho 0.243 0.500 0.500
4 Ho 0.757 0.500 0.500
5 O 0.147 0.500 0.000
6 O 0.853 0.500 0.000
7 O 0.147 0.000 0.500
8 O 0.853 0.000 0.500
9 O 0.500 0.500 0.500

Values from the calculation:
The calculated total energy is -69.2 eV/f.u. The calculation puts the energy above the most stable polymorph in this dataset at 0.0000 eV/atom.